Ac8SmDy5 | GGA-PBE | optimized geometry

Summary:
Final energy   -59.81 eV/f.u.
Energy of formation   0.785 eV per formula unit

abc: 7.5806 8.5482 9.3352
angles: 111.32 90.97 102.99
Space group P1 (No. 1)
Symmetry-distinct sites (fractional):
1 Ac 0.0000 0.0000 0.0000 (multiplicity 1)
2 Ac 0.0639 0.2798 0.4371 (multiplicity 1)
3 Ac 0.1387 0.5653 0.8646 (multiplicity 1)
4 Ac 0.4175 0.7224 0.5759 (multiplicity 1)
5 Ac 0.5556 0.2754 0.4307 (multiplicity 1)
6 Ac 0.6329 0.5631 0.8561 (multiplicity 1)
7 Ac 0.7025 0.8500 0.2856 (multiplicity 1)
8 Ac 0.8483 0.4243 0.1491 (multiplicity 1)
9 Sm 0.7767 0.1331 0.7191 (multiplicity 1)
10 Dy 0.2032 0.8493 0.2890 (multiplicity 1)
11 Dy 0.2763 0.1331 0.7190 (multiplicity 1)
12 Dy 0.3487 0.4214 0.1441 (multiplicity 1)
13 Dy 0.4916 0.0024 0.0017 (multiplicity 1)
14 Dy 0.9234 0.7203 0.5757 (multiplicity 1)

---

PbAu3F | GGA-PBE | optimized geometry

Summary:
Final energy   -12.62 eV/f.u.
Relative energy among the computed polymorphs   375 meV per atom
E_form (uncorrected)   0.56 eV/atom

abc: 5.3752 5.3752 5.3752
angles: 90.00 90.00 90.00
Space group Pm-3m (No. 221)
Symmetry-distinct sites (fractional):
1 Pb 0.0000 0.0000 0.0000 (multiplicity 1)
2 Au 0.0000 0.0000 0.5000 (multiplicity 3)
3 F 0.5000 0.5000 0.5000 (multiplicity 1)

---

PrDy2Pd | GGA-PBE | optimized geometry

Summary:
Final energy   -20.97 eV/f.u.
Relative energy among the computed polymorphs   0 meV per atom
Energy of formation   -1.795 eV per formula unit

abc: 7.1441 9.7708 6.5750
angles: 90.00 90.00 90.00
Space group Pnma (No. 62)
Symmetry-distinct sites (fractional):
1 Pr 0.0180 0.2500 0.1357 (multiplicity 4)
2 Dy 0.1789 0.0608 0.6709 (multiplicity 8)
3 Pd 0.1126 0.7500 0.4205 (multiplicity 4)

---

YTiNbO6 | GGA-PBE | optimized geometry

Summary:
Final energy   -81.44 eV/f.u.
Relative energy among the computed polymorphs   31 meV per atom
E_form (uncorrected)   -3.03 eV/atom

abc: 5.2179 5.2179 9.7988
angles: 90.00 90.00 120.00
Space group P-31c (No. 163)
Symmetry-distinct sites (fractional):
1 Y 0.0000 0.0000 0.0000 (multiplicity 2)
2 Ti 0.3333 0.6667 0.2500 (multiplicity 2)
3 Nb 0.3333 0.6667 0.7500 (multiplicity 2)
4 O 0.0053 0.3615 0.1394 (multiplicity 12)

---

La2CdRh | GGA-PBE | optimized geometry

Summary:
Final energy   -20.17 eV/f.u.
Energy of formation   -2.045 eV per formula unit

abc: 3.7015 3.7015 7.7824
angles: 90.00 90.00 90.00
Space group P4/mmm (No. 123)
Symmetry-distinct sites (fractional):
1 La 0.0000 0.0000 0.2154 (multiplicity 2)
2 Cd 0.5000 0.5000 0.5000 (multiplicity 1)
3 Rh 0.5000 0.5000 0.0000 (multiplicity 1)

---

BiIrSCl2 | GGA-PBE | optimized geometry

Summary:
Final energy   -15.88 eV/f.u.
Relative energy among the computed polymorphs   779 meV per atom
E_form (uncorrected)   0.94 eV/atom

abc: 5.2906 5.2906 5.5034
angles: 90.00 90.00 90.00
Space group P4/mmm (No. 123)
Symmetry-distinct sites (fractional):
1 Bi 0.0000 0.0000 0.0000 (multiplicity 1)
2 Ir 0.5000 0.5000 0.5000 (multiplicity 1)
3 S 0.0000 0.0000 0.5000 (multiplicity 1)
4 Cl 0.0000 0.5000 0.0000 (multiplicity 2)

---

LaGe2Au3 | GGA-PBE | optimized geometry

Summary:
Final energy   -27.03 eV/f.u.
Energy of formation   -3.037 eV per formula unit

abc: 17.0928 4.5235 10.2414
angles: 90.00 105.09 90.00
Space group C2/m (No. 12)
Symmetry-distinct sites (fractional):
1 La 0.0000 0.0000 0.0000 (multiplicity 2)
2 La 0.1682 0.0000 0.7038 (multiplicity 4)
3 Ge 0.0246 0.5000 0.7744 (multiplicity 4)
4 Ge 0.1557 0.5000 0.4662 (multiplicity 4)
5 Ge 0.1961 0.0000 0.1003 (multiplicity 4)
6 Au 0.0000 0.5000 0.5000 (multiplicity 2)
7 Au 0.0207 0.0000 0.3421 (multiplicity 4)
8 Au 0.1218 0.5000 0.1904 (multiplicity 4)
9 Au 0.1626 0.5000 0.9425 (multiplicity 4)
10 Au 0.1964 0.0000 0.3637 (multiplicity 4)

---

Dy7ErTh2 | GGA-PBE | optimized geometry

Summary:
Final energy   -46.98 eV/f.u.
Relative energy among the computed polymorphs   0 meV per atom
Energy of formation   4.640 eV per formula unit

abc: 11.9412 16.5858 3.4876
angles: 90.00 90.00 90.00
Space group Cmmm (No. 65)
Symmetry-distinct sites (fractional):
1 Dy 0.0000 0.0000 0.0000 (multiplicity 2)
2 Dy 0.0000 0.1684 0.5000 (multiplicity 4)
3 Dy 0.2421 0.1267 0.0000 (multiplicity 8)
4 Er 0.0000 0.5000 0.5000 (multiplicity 2)
5 Th 0.0000 0.3267 0.0000 (multiplicity 4)

---

Li2ErUSe4 | GGA-PBE | optimized geometry

Summary:
Final energy   -44.94 eV/f.u.
E_form (uncorrected)   -1.42 eV/atom

abc: 6.9411 4.0338 7.0193
angles: 90.00 109.64 90.00
Space group P2/m (No. 10)
Symmetry-distinct sites (fractional):
1 Li 0.0000 0.0000 0.0000 (multiplicity 1)
2 Li 0.0000 0.5000 0.5000 (multiplicity 1)
3 Er 0.5000 0.0000 0.5000 (multiplicity 1)
4 U 0.5000 0.5000 0.0000 (multiplicity 1)
5 Se 0.2423 0.0000 0.7431 (multiplicity 2)
6 Se 0.2457 0.5000 0.2517 (multiplicity 2)

---

TbCd2Pb2 | GGA-PBE | optimized geometry

Summary:
Final energy   -15.12 eV/f.u.
Energy of formation   -1.241 eV per formula unit

abc: 4.5679 24.6424 4.6183
angles: 90.00 90.00 90.00
Space group Cmcm (No. 63)
Symmetry-distinct sites (fractional):
1 Tb 0.0000 0.1446 0.2500 (multiplicity 4)
2 Cd 0.0000 0.0408 0.7500 (multiplicity 4)
3 Cd 0.0000 0.4563 0.7500 (multiplicity 4)
4 Pb 0.0000 0.2494 0.7500 (multiplicity 4)
5 Pb 0.0000 0.3658 0.2500 (multiplicity 4)

---

TbNd2TmSe6 | GGA-PBE | optimized geometry

Summary:
Final energy   -57.96 eV/f.u.
E_form (uncorrected)   -1.84 eV/atom

abc: 7.3391 7.3391 19.5223
angles: 90.00 90.00 120.00
Space group R3 (No. 146, hexagonal axes)
Symmetry-distinct sites (fractional):
1 Tb 0.0000 0.0000 0.0000 (multiplicity 3)
2 Nd 0.0000 0.0000 0.2986 (multiplicity 3)
3 Nd 0.0000 0.0000 0.7992 (multiplicity 3)
4 Tm 0.0000 0.0000 0.4990 (multiplicity 3)
5 Se 0.0418 0.6898 0.5705 (multiplicity 9)
6 Se 0.0440 0.3584 0.0715 (multiplicity 9)

---

> The lowest final energy belongs to which entry?

YTiNbO6

---

> Among the records above, which one has the highest final energy?

PbAu3F

---

> Look up the final energy of the fourth one.

-81.44 eV/f.u.

---

> The highest final energy belongs to which entry?

PbAu3F